1.
Material: NdEuZnPd
Method: DFT, GGA-PBE
State: relaxed

## Properties
total magnetization	28.0	μB/cell
ΔE_f	-0.475	eV/atom

```
data_NdEuZnPd
_cell_length_a 7.3267
_cell_length_b 7.3267
_cell_length_c 7.3267
_cell_angle_alpha 90.00
_cell_angle_beta 90.00
_cell_angle_gamma 90.00
_space_group_name_H-M_alt 'F -4 3 m'
_space_group_IT_number 216
_space_group_name_Hall 'F -4 2 3'
loop_
_atom_site_label
_atom_site_type_symbol
_atom_site_fract_x
_atom_site_fract_y
_atom_site_fract_z
_atom_site_occupancy
Nd1 Nd 0.0000 0.0000 0.0000 1
Eu1 Eu 0.0000 0.0000 0.5000 1
Zn1 Zn 0.2500 0.2500 0.7500 1
Pd1 Pd 0.2500 0.2500 0.2500 1
```

***

2.
Material: PmNdEu
Method: DFT, GGA-PBE
State: relaxed

## Properties
total magnetization	14.7	μB/cell
ΔE_f	0.029	eV/atom
ΔE to the lowest computed polymorph	0	meV per atom

```
data_PmNdEu
_cell_length_a 3.7300
_cell_length_b 3.7300
_cell_length_c 15.8502
_cell_angle_alpha 90.00
_cell_angle_beta 90.00
_cell_angle_gamma 90.00
_space_group_name_H-M_alt 'I 4 m m'
_space_group_IT_number 107
_space_group_name_Hall 'I 4 -2'
loop_
_atom_site_label
_atom_site_type_symbol
_atom_site_fract_x
_atom_site_fract_y
_atom_site_fract_z
_atom_site_occupancy
Pm1 Pm 0.0000 0.0000 0.0000 1
Nd1 Nd 0.0000 0.0000 0.3469 1
Eu1 Eu 0.0000 0.0000 0.6729 1
```

***

3.
Material: PmNd2Eu
Method: DFT, GGA-PBE
State: relaxed

## Properties
total magnetization	7.1	μB/cell
ΔE_f	0.061	eV/atom
ΔE to the lowest computed polymorph	0	meV per atom

```
data_PmNd2Eu
_cell_length_a 5.2425
_cell_length_b 5.2425
_cell_length_c 5.2300
_cell_angle_alpha 90.00
_cell_angle_beta 90.00
_cell_angle_gamma 90.00
_space_group_name_H-M_alt 'P 4/m m m'
_space_group_IT_number 123
_space_group_name_Hall '-P 4 2'
loop_
_atom_site_label
_atom_site_type_symbol
_atom_site_fract_x
_atom_site_fract_y
_atom_site_fract_z
_atom_site_occupancy
Pm1 Pm 0.0000 0.0000 0.0000 1
Nd1 Nd 0.0000 0.5000 0.5000 1
Eu1 Eu 0.5000 0.5000 0.0000 1
```

***

4.
Material: Pm4NdEu
Method: DFT, GGA-PBE
State: relaxed

## Properties
total magnetization	28.5	μB/cell
ΔE_f	0.227	eV/atom

```
data_Pm4NdEu
_cell_length_a 9.6513
_cell_length_b 9.6513
_cell_length_c 9.6513
_cell_angle_alpha 90.00
_cell_angle_beta 90.00
_cell_angle_gamma 90.00
_space_group_name_H-M_alt 'F -4 3 m'
_space_group_IT_number 216
_space_group_name_Hall 'F -4 2 3'
loop_
_atom_site_label
_atom_site_type_symbol
_atom_site_fract_x
_atom_site_fract_y
_atom_site_fract_z
_atom_site_occupancy
Pm1 Pm 0.1231 0.1231 0.3769 1
Nd1 Nd 0.2500 0.2500 0.7500 1
Eu1 Eu 0.0000 0.0000 0.0000 1
```

***

Respective DOS at the Fermi energy values: 1.91, 1.05, 1.54, 1.38 states/eV per atom.
Respective total DFT energy (no corrections) values: -93.64, -39.41, -24.32, -130.72 eV/cell.